VASP calculation (PBE+U) on Na2NiBO4 after structural relaxation.

Cell and atoms, written as POSCAR:
```
Na2NiBO4
1.0
4.750 0.000 0.000
2.375 5.178 0.000
2.375 0.000 8.508
Na Ni B O
4 2 2 8
direct
0.185 0.000 0.631
0.815 0.000 0.369
0.565 0.500 0.869
0.935 0.500 0.131
0.750 0.500 0.500
0.000 0.000 0.000
0.250 0.500 0.500
0.500 0.000 0.000
0.345 0.826 0.085
0.256 0.174 0.915
0.829 0.826 0.915
0.570 0.174 0.085
0.405 0.674 0.415
0.494 0.326 0.585
0.921 0.674 0.585
0.180 0.326 0.415
```

Values from the calculation:
- symmetry = Fddd, No. 70
- total energy (eV/atom) = -5.35